[1]
Material: BaZrRe2
Method: DFT, PBE
State: relaxed

## Properties
Energy of formation from the pure elements = 1124 meV/atom
Energy above the lowest structure with this stoichiometry = 603 meV per atom
D(E_F) = 0.801 states/eV/atom
Symmetry = Immm (71)

CIF file:
```
data_BaZrRe2
_space_group_name_H-M_alt 'P 1'
_space_group_IT_number 1
_space_group_name_Hall 'P 1'
_cell_length_a 5.757
_cell_length_b 5.757
_cell_length_c 5.757
_cell_angle_alpha 147.33
_cell_angle_beta 127.38
_cell_angle_gamma 63.33
loop_
_atom_site_label
_atom_site_fract_x
_atom_site_fract_y
_atom_site_fract_z
Ba1 0.750 0.250 0.500
Re1 0.490 0.490 0.000
Re2 0.010 0.010 0.000
Zr1 0.250 0.750 0.500
```

=====

[2]
Material: Tl2Bi2I
Method: DFT, PBE
State: relaxed

## Properties
Energy relative to the elements, uncorrected = -0.037 eV per atom
Energy above the lowest structure with this stoichiometry = 144 meV per atom
D(E_F) = 0.376 states/eV/atom
Symmetry = P4/mbm (127)

CIF file:
```
data_Tl2Bi2I
_space_group_name_H-M_alt 'P 1'
_space_group_IT_number 1
_space_group_name_Hall 'P 1'
_cell_length_a 10.535
_cell_length_b 10.535
_cell_length_c 3.371
_cell_angle_alpha 90.00
_cell_angle_beta 90.00
_cell_angle_gamma 90.00
loop_
_atom_site_label
_atom_site_fract_x
_atom_site_fract_y
_atom_site_fract_z
I1 0.000 0.000 0.000
Bi1 0.398 0.102 0.500
Tl1 0.183 0.317 0.000
Tl2 0.817 0.683 0.000
Bi2 0.898 0.398 0.500
I2 0.500 0.500 0.000
Tl3 0.317 0.817 0.000
Bi3 0.602 0.898 0.500
Bi4 0.102 0.602 0.500
Tl4 0.683 0.183 0.000
```

=====

[3]
Material: Dy2PaTl3Te6
Method: DFT, PBE
State: relaxed

## Properties
Energy relative to the elements, uncorrected = -0.880 eV per atom
D(E_F) = 0.803 states/eV/atom
Symmetry = C2/m (12)

CIF file:
```
data_Dy2PaTl3Te6
_space_group_name_H-M_alt 'P 1'
_space_group_IT_number 1
_space_group_name_Hall 'P 1'
_cell_length_a 7.647
_cell_length_b 7.647
_cell_length_c 8.683
_cell_angle_alpha 98.44
_cell_angle_beta 98.44
_cell_angle_gamma 119.98
loop_
_atom_site_label
_atom_site_fract_x
_atom_site_fract_y
_atom_site_fract_z
Tl1 0.834 0.166 0.500
Te1 0.594 0.928 0.785
Tl2 0.500 0.500 0.500
Te2 0.072 0.406 0.215
Te3 0.738 0.738 0.215
Dy1 0.333 0.667 0.000
Tl3 0.166 0.834 0.500
Pa1 0.000 0.000 0.000
Te4 0.262 0.262 0.785
Te5 0.928 0.594 0.785
Te6 0.406 0.072 0.215
Dy2 0.667 0.333 0.000
```

=====

[4]
Material: CaTb8Pm6
Method: DFT, PBE
State: relaxed

## Properties
Energy of formation from the pure elements = 176 meV/atom
D(E_F) = 1.339 states/eV/atom
Symmetry = R-3 (148)

CIF file:
```
data_CaTb8Pm6
_space_group_name_H-M_alt 'P 1'
_space_group_IT_number 1
_space_group_name_Hall 'P 1'
_cell_length_a 8.276
_cell_length_b 8.276
_cell_length_c 8.276
_cell_angle_alpha 72.15
_cell_angle_beta 72.15
_cell_angle_gamma 72.15
loop_
_atom_site_label
_atom_site_fract_x
_atom_site_fract_y
_atom_site_fract_z
Pm1 0.381 0.829 0.568
Pm2 0.829 0.568 0.381
Tb1 0.765 0.765 0.765
Pm3 0.568 0.381 0.829
Tb2 0.235 0.235 0.235
Tb3 0.378 0.052 0.865
Pm4 0.432 0.619 0.171
Pm5 0.171 0.432 0.619
Tb4 0.622 0.948 0.135
Tb5 0.135 0.622 0.948
Tb6 0.052 0.865 0.378
Tb7 0.865 0.378 0.052
Ca1 0.000 0.000 0.000
Tb8 0.948 0.135 0.622
Pm6 0.619 0.171 0.432
```

=====

[5]
Material: CeDyPa2N4
Method: DFT, PBE
State: relaxed

## Properties
Energy relative to the elements, uncorrected = -1.631 eV per atom
D(E_F) = 0.785 states/eV/atom
Symmetry = P2/m (10)

CIF file:
```
data_CeDyPa2N4
_space_group_name_H-M_alt 'P 1'
_space_group_IT_number 1
_space_group_name_Hall 'P 1'
_cell_length_a 3.515
_cell_length_b 6.114
_cell_length_c 6.056
_cell_angle_alpha 109.47
_cell_angle_beta 90.00
_cell_angle_gamma 90.00
loop_
_atom_site_label
_atom_site_fract_x
_atom_site_fract_y
_atom_site_fract_z
Dy1 0.500 0.500 0.000
N1 0.500 0.736 0.731
N2 0.000 0.748 0.265
N3 0.000 0.252 0.735
Ce1 0.000 0.000 0.000
N4 0.500 0.264 0.269
Pa1 0.000 0.500 0.500
Pa2 0.500 0.000 0.500
```

=====

[6]
Material: Na8TlBi2
Method: DFT, PBE
State: relaxed

## Properties
Energy of formation from the pure elements = -259 meV/atom
D(E_F) = 0.357 states/eV/atom
Symmetry = C2/m (12)

CIF file:
```
data_Na8TlBi2
_space_group_name_H-M_alt 'P 1'
_space_group_IT_number 1
_space_group_name_Hall 'P 1'
_cell_length_a 5.320
_cell_length_b 9.237
_cell_length_c 8.730
_cell_angle_alpha 121.97
_cell_angle_beta 107.74
_cell_angle_gamma 90.00
loop_
_atom_site_label
_atom_site_fract_x
_atom_site_fract_y
_atom_site_fract_z
Na1 0.000 0.684 0.001
Na2 0.854 0.854 0.709
Na3 0.341 0.133 0.682
Bi1 0.206 0.706 0.412
Na4 0.341 0.549 0.682
Bi2 0.794 0.294 0.588
Na5 0.000 0.316 0.999
Na6 0.659 0.867 0.318
Na7 0.146 0.146 0.291
Na8 0.659 0.451 0.318
Tl1 0.500 0.000 0.000
```